Compound: CeSm2Mg
Source: Alexandria
Functional: PBE
Structure: optimized geometry

Geometry as CIF:
```
data_CeSm2Mg
_chemical_formula_sum 'Ce4 Sm8 Mg4'
_space_group_name_H-M_alt 'F m -3 m'
_space_group_IT_number 225
_space_group_name_Hall '-F 4 2 3'
_cell_length_a 7.864
_cell_length_b 7.864
_cell_length_c 7.864
_cell_angle_alpha 90.00
_cell_angle_beta 90.00
_cell_angle_gamma 90.00
loop_
_atom_site_label
_atom_site_fract_x
_atom_site_fract_y
_atom_site_fract_z
Ce1 0.000 0.000 0.000
Sm1 0.250 0.250 0.250
Mg1 0.000 0.000 0.500
```

Results
ΔH_f (0 K)	0.6	eV per formula unit
M_tot	0.271	μB per atom
final energy	-16.41	eV per formula unit

Compound: K2RuSO6
Source: Alexandria
Functional: PBE
Structure: optimized geometry

Geometry as CIF:
```
data_K2RuSO6
_chemical_formula_sum 'K4 Ru2 S2 O12'
_space_group_name_H-M_alt 'I 4/m'
_space_group_IT_number 87
_space_group_name_Hall '-I 4'
_cell_length_a 5.092
_cell_length_b 5.092
_cell_length_c 10.761
_cell_angle_alpha 90.00
_cell_angle_beta 90.00
_cell_angle_gamma 90.00
loop_
_atom_site_label
_atom_site_fract_x
_atom_site_fract_y
_atom_site_fract_z
K1 0.000 0.500 0.250
Ru1 0.000 0.000 0.000
S1 0.000 0.000 0.500
O1 0.000 0.000 0.173
O2 0.151 0.708 0.500
```

Results
M_tot	0.183	μB per atom
final energy	-54.60	eV per formula unit

Compound: Sb2TePb2
Source: Alexandria
Functional: PBE
Structure: optimized geometry

Geometry as CIF:
```
data_Sb2TePb2
_chemical_formula_sum 'Sb4 Te2 Pb4'
_space_group_name_H-M_alt 'I 4/m m m'
_space_group_IT_number 139
_space_group_name_Hall '-I 4 2'
_cell_length_a 6.073
_cell_length_b 6.073
_cell_length_c 9.165
_cell_angle_alpha 90.00
_cell_angle_beta 90.00
_cell_angle_gamma 90.00
loop_
_atom_site_label
_atom_site_fract_x
_atom_site_fract_y
_atom_site_fract_z
Sb1 0.000 0.000 0.158
Te1 0.000 0.000 0.500
Pb1 0.000 0.500 0.250
```

Results
M_tot	0.000	μB per atom
final energy	-18.51	eV per formula unit

Compound: Ba4AsO7
Source: Alexandria
Functional: PBE
Structure: optimized geometry

Geometry as CIF:
```
data_Ba4AsO7
_chemical_formula_sum 'Ba8 As2 O14'
_space_group_name_H-M_alt 'C 1 2/m 1'
_space_group_IT_number 12
_space_group_name_Hall '-C 2y'
_cell_length_a 14.836
_cell_length_b 4.084
_cell_length_c 10.765
_cell_angle_alpha 90.00
_cell_angle_beta 129.55
_cell_angle_gamma 90.00
loop_
_atom_site_label
_atom_site_fract_x
_atom_site_fract_y
_atom_site_fract_z
Ba1 0.101 0.000 0.359
Ba2 0.231 0.500 0.827
As1 0.000 0.500 0.000
O1 0.000 0.000 0.000
O2 0.130 0.000 0.850
O3 0.133 0.500 0.192
O4 0.174 0.500 0.545
```

Results
M_tot	0.102	μB per atom
final energy	-68.97	eV per formula unit

Compound: AlAsP2
Source: Alexandria
Functional: PBE
Structure: optimized geometry

Geometry as CIF:
```
data_AlAsP2
_chemical_formula_sum 'Al1 As1 P2'
_space_group_name_H-M_alt 'P 1 m 1'
_space_group_IT_number 6
_space_group_name_Hall 'P -2y'
_cell_length_a 2.805
_cell_length_b 5.016
_cell_length_c 5.228
_cell_angle_alpha 90.00
_cell_angle_beta 105.48
_cell_angle_gamma 90.00
loop_
_atom_site_label
_atom_site_fract_x
_atom_site_fract_y
_atom_site_fract_z
Al1 0.000 0.000 0.000
As1 0.271 0.500 0.539
P1 0.039 0.500 0.074
P2 0.284 0.000 0.567
```

Results
ΔH_f (0 K)	0.5	eV per formula unit
M_tot	0.000	μB per atom
final energy	-18.73	eV per formula unit

Compound: IrOs3
Source: Alexandria
Functional: PBE
Structure: optimized geometry

Geometry as CIF:
```
data_IrOs3
_chemical_formula_sum 'Ir2 Os6'
_space_group_name_H-M_alt 'C 1 2/m 1'
_space_group_IT_number 12
_space_group_name_Hall '-C 2y'
_cell_length_a 9.057
_cell_length_b 2.724
_cell_length_c 4.730
_cell_angle_alpha 90.00
_cell_angle_beta 99.96
_cell_angle_gamma 90.00
loop_
_atom_site_label
_atom_site_fract_x
_atom_site_fract_y
_atom_site_fract_z
Ir1 0.000 0.000 0.000
Os1 0.000 0.500 0.500
Os2 0.248 0.000 0.746
```

Results
ΔH_f (0 K)	0.4	eV per formula unit
M_tot	0.000	μB per atom
final energy	-42.19	eV per formula unit

Compound: Ba4BiH2
Source: Alexandria
Functional: PBE
Structure: optimized geometry

Geometry as CIF:
```
data_Ba4BiH2
_chemical_formula_sum 'Ba16 Bi4 H8'
_space_group_name_H-M_alt 'I -4 2 d'
_space_group_IT_number 122
_space_group_name_Hall 'I -4 2bw'
_cell_length_a 11.329
_cell_length_b 11.329
_cell_length_c 8.517
_cell_angle_alpha 90.00
_cell_angle_beta 90.00
_cell_angle_gamma 90.00
loop_
_atom_site_label
_atom_site_fract_x
_atom_site_fract_y
_atom_site_fract_z
Ba1 0.057 0.702 0.394
Bi1 0.000 0.000 0.500
H1 0.063 0.250 0.125
```

Results
M_tot	0.400	μB per atom
final energy	-21.64	eV per formula unit

Compound: Nd2ThSe
Source: Alexandria
Functional: PBE
Structure: optimized geometry

Geometry as CIF:
```
data_Nd2ThSe
_chemical_formula_sum 'Nd6 Th3 Se3'
_space_group_name_H-M_alt 'R -3 m'
_space_group_IT_number 166
_space_group_name_Hall '-R 3 2"'
_cell_length_a 3.8350
_cell_length_b 3.8350
_cell_length_c 28.9235
_cell_angle_alpha 90.00
_cell_angle_beta 90.00
_cell_angle_gamma 120.00
loop_
_atom_site_label
_atom_site_fract_x
_atom_site_fract_y
_atom_site_fract_z
Nd1 0.0000 0.0000 0.2357
Th1 0.0000 0.0000 0.0000
Se1 0.0000 0.0000 0.5000
```

Results
M_tot	0.000	μB per atom
final energy	-23.63	eV per formula unit

Which formula does entry 6 have? IrOs3

What is the formula in the sixth record? IrOs3

Among the records above, which one has the highest final energy? CeSm2Mg